This record from Alexandria via LeMat-Bulk describes crystalline Cu5Se2S2 at its relaxed geometry. The functional is PBE-GGA.

Values from the calculation:
**Formation energy without anion corrections**: -0.09 eV/atom
**M_tot**: 0.00 μB/atom

Cell: 6.069 5.379 10.201 Å, 105.15 107.20 90.35°
Atoms (fractional coordinates):
Cu  0.197  0.683  0.877
Cu  0.805  0.806  0.126
Cu  0.180  0.179  0.874
Cu  0.820  0.305  0.123
Cu  0.212  0.094  0.255
Cu  0.789  0.858  0.744
Cu  0.543  0.610  0.256
Cu  0.458  0.343  0.745
Cu  0.100  0.635  0.500
Cu  0.890  0.175  0.500
Se  0.144  0.626  0.269
Se  0.856  0.366  0.733
Se  0.622  0.132  0.267
Se  0.376  0.858  0.730
S  0.999  0.981  0.000
S  0.499  0.482  0.000
S  0.253  0.260  0.500
S  0.759  0.780  0.500